Computed, not measured: a relaxed structure of Li5AuO4 at the PBE level of DFT.

## Properties
ΔE to the lowest computed polymorph: 80 meV per atom
density: 4.93 g/cm³
final energy: -47.082 eV/cell

Unit cell a=3.591 b=5.488 c=5.645 alpha=80.34 beta=71.72 gamma=70.91
Space group P-1 (No. 2)
Inequivalent atoms, fractional coordinates:
Li 0.000 0.000 0.000
Li 0.183 0.028 0.608
Li 0.316 0.342 0.026
Au 0.500 0.500 0.500
O 0.243 0.688 0.825
O 0.427 0.853 0.292

Computed, not measured: a relaxed structure of Li5AuO4 at the PBE level of DFT.

## Properties
ΔE to the lowest computed polymorph: 0 meV per atom
density: 4.60 g/cm³
final energy: -383.046 eV/cell

Unit cell a=5.959 b=7.463 c=19.196 alpha=90.00 beta=90.00 gamma=90.00
Space group Fddd (No. 70, origin choice 2)
Inequivalent atoms, fractional coordinates:
Li 0.125 0.125 0.125
Li 0.125 0.125 0.266
Li 0.125 0.125 0.479
Au 0.125 0.125 0.625
O 0.122 0.373 0.949